# 1
{"formula": "GaCoCuTc", "functional": "PBE", "state": "optimized geometry", "cell": [[-1.443, 0.526, 3.893], [0.029, 3.803, 1.746], [-3.600, 2.036, 0.640]], "species": ["Tc", "Cu", "Ga", "Co"], "frac_coords": [[0.250, 0.250, 0.250], [0.750, 0.750, 0.750], [0.000, 0.000, 0.000], [0.500, 0.500, 0.500]], "de_polymorph_ev_per_fu": 0.00}

# 2
{"formula": "GaCoCuW", "functional": "PBE", "state": "optimized geometry", "cell": [[0.000, 2.978, 2.978], [2.978, 0.000, 2.978], [2.978, 2.978, 0.000]], "species": ["Ga", "W", "Co", "Cu"], "frac_coords": [[0.000, 0.000, 0.000], [0.500, 0.500, 0.500], [0.750, 0.750, 0.750], [0.250, 0.250, 0.250]], "de_polymorph_ev_per_fu": 0.00}

# 3
{"formula": "GaCoCuW", "functional": "PBE", "state": "optimized geometry", "cell": [[-2.274, -3.426, 0.945], [-1.117, -0.754, 3.998], [-4.032, 0.402, 1.176]], "species": ["Ga", "W", "Cu", "Co"], "frac_coords": [[0.000, 0.000, 0.000], [0.250, 0.250, 0.250], [0.500, 0.500, 0.500], [0.750, 0.750, 0.750]], "de_polymorph_ev_per_fu": 0.68}

# 4
{"formula": "GaCoCuW", "functional": "PBE", "state": "optimized geometry", "cell": [[0.000, 2.980, 2.980], [2.980, 0.000, 2.980], [2.980, 2.980, 0.000]], "species": ["Cu", "W", "Co", "Ga"], "frac_coords": [[0.750, 0.750, 0.750], [0.250, 0.250, 0.250], [0.500, 0.500, 0.500], [0.000, 0.000, 0.000]], "de_polymorph_ev_per_fu": 0.15}